# Ba2AuS PBE relaxed
# Energy relative to the elements, uncorrected in meV per atom: -1119
# Total magnetization in μB/f.u.: 0.292
# V in Å³ per cell: 643.8
# Calculated total energy in eV/atom: -3.93
data_Ba2AuS
_chemical_formula_sum 'Ba8 Au4 S4'
_cell_length_a 8.305
_cell_length_b 8.305
_cell_length_c 9.333
_cell_angle_alpha 90.00
_cell_angle_beta 90.00
_cell_angle_gamma 90.00
_symmetry_space_group_name_H-M 'I -4 2 d'
_symmetry_Int_Tables_number 122
_symmetry_space_group_name_Hall 'I -4 2bw'
loop_
_atom_site_label
_atom_site_fract_x
_atom_site_fract_y
_atom_site_fract_z
Ba1 0.226 0.250 0.125
Au1 0.000 0.000 0.500
S1 0.000 0.000 0.000